Entry 1:
Here is TbDyPa2P4 after structural relaxation from Alexandria. Energies are from GGA-PBE.

The total magnetization comes out at 0.00 μB/f.u. The value obtained for the total energy is -7.69 eV/atom.

The space group is P2/m (No. 10) and the conventional cell measures 6.900, 3.988 and 6.906 Å, with angles of 90.00, 109.50 and 90.00 degrees. The asymmetric unit holds Tb at (0.000, 0.000, 0.000), Dy at (0.000, 0.500, 0.500), Pa at (0.500, 0.000, 0.500), Pa at (0.500, 0.500, 0.000), P at (0.255, 0.000, 0.751) and P at (0.255, 0.500, 0.252).

***

Entry 2:
Here is TbDy2PaP4 after structural relaxation from Alexandria. Energies are from GGA-PBE.

The total magnetization comes out at 0.00 μB/f.u. The value obtained for the total energy is -7.17 eV/atom.

The space group is P2/m (No. 10) and the conventional cell measures 6.910, 4.002 and 6.917 Å, with angles of 90.00, 109.48 and 90.00 degrees. The asymmetric unit holds Tb at (0.000, 0.000, 0.000), Dy at (0.500, 0.000, 0.500), Dy at (0.500, 0.500, 0.000), Pa at (0.000, 0.500, 0.500), P at (0.247, 0.000, 0.746) and P at (0.247, 0.500, 0.254).

***

Entry 3:
Here is DyTh2PaP4 after structural relaxation from Alexandria. Energies are from GGA-PBE.

The total magnetization comes out at 0.00 μB/f.u. The value obtained for the total energy is -7.82 eV/atom.

The space group is P2/m (No. 10) and the conventional cell measures 7.028, 4.067 and 7.041 Å, with angles of 90.00, 109.49 and 90.00 degrees. The asymmetric unit holds Dy at (0.000, 0.000, 0.000), Th at (0.000, 0.500, 0.500), Th at (0.500, 0.000, 0.500), Pa at (0.500, 0.500, 0.000), P at (0.250, 0.500, 0.239) and P at (0.256, 0.000, 0.763).

***

Entry 4:
Here is DyTmPa2P4 after structural relaxation from Alexandria. Energies are from GGA-PBE.

The total magnetization comes out at 0.00 μB/f.u. The value obtained for the total energy is -7.66 eV/atom.

The space group is P2/m (No. 10) and the conventional cell measures 6.861, 3.970 and 6.874 Å, with angles of 90.00, 109.51 and 90.00 degrees. The asymmetric unit holds Dy at (0.000, 0.000, 0.000), Tm at (0.000, 0.500, 0.500), Pa at (0.500, 0.000, 0.500), Pa at (0.500, 0.500, 0.000), P at (0.251, 0.000, 0.749) and P at (0.252, 0.500, 0.252).

***

Entry 5:
Here is DyTm2PaP4 after structural relaxation from Alexandria. Energies are from GGA-PBE.

The total magnetization comes out at 0.00 μB/f.u. The value obtained for the total energy is -7.12 eV/atom.

The space group is P2/m (No. 10) and the conventional cell measures 6.844, 3.970 and 6.862 Å, with angles of 90.00, 109.50 and 90.00 degrees. The asymmetric unit holds Dy at (0.000, 0.000, 0.000), Tm at (0.500, 0.000, 0.500), Tm at (0.500, 0.500, 0.000), Pa at (0.000, 0.500, 0.500), P at (0.251, 0.000, 0.749) and P at (0.251, 0.500, 0.254).

***

Entry 6:
Here is DyTm2Pa3P6 after structural relaxation from Alexandria. Energies are from GGA-PBE.

The total magnetization comes out at 0.00 μB/f.u. The value obtained for the total energy is -7.66 eV/atom.

The space group is C2/m (No. 12) and the conventional cell measures 6.864, 11.892 and 6.852 Å, with angles of 90.00, 109.51 and 90.00 degrees. The asymmetric unit holds Dy at (0.000, 0.000, 0.000), Tm at (0.000, 0.333, 0.000), Pa at (0.000, 0.166, 0.500), Pa at (0.000, 0.500, 0.500), P at (0.248, 0.500, 0.250) and P at (0.249, 0.332, 0.749).

***

Entry 7:
Here is Dy2UPaP4 after structural relaxation from Alexandria. Energies are from GGA-PBE.

The total magnetization comes out at 2.60 μB/f.u. The value obtained for the total energy is -7.82 eV/atom.

The space group is P2/m (No. 10) and the conventional cell measures 6.873, 3.968 and 6.917 Å, with angles of 90.00, 109.35 and 90.00 degrees. The asymmetric unit holds Dy at (0.000, 0.000, 0.000), Dy at (0.500, 0.500, 0.000), U at (0.000, 0.500, 0.500), Pa at (0.500, 0.000, 0.500), P at (0.248, 0.000, 0.745) and P at (0.251, 0.500, 0.254).

***

Entry 8:
Here is DyUPa2P4 after structural relaxation from Alexandria. Energies are from GGA-PBE.

The total magnetization comes out at 2.33 μB/f.u. The value obtained for the total energy is -8.36 eV/atom.

The space group is P2/m (No. 10) and the conventional cell measures 6.861, 3.958 and 6.882 Å, with angles of 90.00, 109.38 and 90.00 degrees. The asymmetric unit holds Dy at (0.000, 0.000, 0.000), U at (0.000, 0.500, 0.500), Pa at (0.500, 0.000, 0.500), Pa at (0.500, 0.500, 0.000), P at (0.248, 0.000, 0.748) and P at (0.251, 0.500, 0.252).

***

Entry 9:
Here is Dy3UPa2P6 after structural relaxation from Alexandria. Energies are from GGA-PBE.

The total magnetization comes out at 2.46 μB/f.u. The value obtained for the total energy is -7.78 eV/atom.

The space group is C2/m (No. 12) and the conventional cell measures 17.351, 3.972 and 7.967 Å, with angles of 90.00, 103.52 and 90.00 degrees. The asymmetric unit holds Dy at (0.000, 0.000, 0.000), Dy at (0.167, 0.500, 0.333), U at (0.000, 0.000, 0.500), Pa at (0.165, 0.500, 0.831), P at (0.000, 0.500, 0.253), P at (0.165, 0.000, 0.584) and P at (0.168, 0.000, 0.080).

***

Entry 10:
Here is DyU2PaP4 after structural relaxation from Alexandria. Energies are from GGA-PBE.

The total magnetization comes out at 4.51 μB/f.u. The value obtained for the total energy is -8.50 eV/atom.

The space group is P2/m (No. 10) and the conventional cell measures 6.820, 3.934 and 6.927 Å, with angles of 90.00, 109.14 and 90.00 degrees. The asymmetric unit holds Dy at (0.000, 0.000, 0.000), U at (0.000, 0.500, 0.500), U at (0.500, 0.000, 0.500), Pa at (0.500, 0.500, 0.000), P at (0.250, 0.000, 0.748) and P at (0.253, 0.500, 0.254).

***

Entry 11:
Here is DyU4Pa3P8 after structural relaxation from Alexandria. Energies are from GGA-PBE.

The total magnetization comes out at 8.00 μB/f.u. The value obtained for the total energy is -8.77 eV/atom.

The space group is R-3m (No. 166, hexagonal axes) and the conventional cell measures 7.8627, 7.8627 and 19.5696 Å, with angles of 90.00, 90.00 and 120.00 degrees. The asymmetric unit holds Dy at (0.0000, 0.0000, 0.0000), U at (0.0000, 0.0000, 0.5000), U at (0.0000, 0.5000, 0.5000), Pa at (0.0000, 0.5000, 0.0000), P at (0.0000, 0.0000, 0.2490) and P at (0.0001, 0.5001, 0.2491).

***

Entry 12:
Here is DyZrPa2P4 after structural relaxation from Alexandria. Energies are from GGA-PBE.

The total magnetization comes out at 0.00 μB/f.u. The value obtained for the total energy is -8.12 eV/atom.

The space group is P2/m (No. 10) and the conventional cell measures 6.738, 3.938 and 6.801 Å, with angles of 90.00, 109.74 and 90.00 degrees. The asymmetric unit holds Dy at (0.000, 0.000, 0.000), Zr at (0.000, 0.500, 0.500), Pa at (0.500, 0.000, 0.500), Pa at (0.500, 0.500, 0.000), P at (0.243, 0.000, 0.742) and P at (0.247, 0.500, 0.255).

***

Entry 13:
Here is Dy2ZrPaP4 after structural relaxation from Alexandria. Energies are from GGA-PBE.

The total magnetization comes out at 0.00 μB/f.u. The value obtained for the total energy is -7.58 eV/atom.

The space group is P2/m (No. 10) and the conventional cell measures 6.772, 3.926 and 6.817 Å, with angles of 90.00, 109.28 and 90.00 degrees. The asymmetric unit holds Dy at (0.000, 0.000, 0.000), Dy at (0.500, 0.500, 0.000), Zr at (0.000, 0.500, 0.500), Pa at (0.500, 0.000, 0.500), P at (0.242, 0.000, 0.738) and P at (0.246, 0.500, 0.257).

***

Entry 14:
Here is Dy2PPb after structural relaxation from Alexandria. Energies are from GGA-PBE.

The total magnetization comes out at 0.00 μB/f.u. The value obtained for the total energy is -5.61 eV/atom.

The space group is R3m (No. 160, hexagonal axes) and the conventional cell measures 3.8905, 3.8905 and 24.3864 Å, with angles of 90.00, 90.00 and 120.00 degrees. The asymmetric unit holds Dy at (0.0000, 0.0000, 0.0000), Dy at (0.0000, 0.0000, 0.2046), P at (0.0000, 0.0000, 0.6031) and Pb at (0.0000, 0.0000, 0.4353).

***

Entry 15:
Here is Dy4PPb2 after structural relaxation from Alexandria. Energies are from GGA-PBE.

The total magnetization comes out at 0.00 μB/f.u. The value obtained for the total energy is -5.08 eV/atom.

The space group is P2_1/m (No. 11) and the conventional cell measures 6.614, 6.561 and 9.637 Å, with angles of 90.00, 108.95 and 90.00 degrees. The asymmetric unit holds Dy at (0.166, 0.250, 0.080), Dy at (0.258, 0.002, 0.753), Dy at (0.303, 0.750, 0.369), P at (0.489, 0.250, 0.341), Pb at (0.142, 0.250, 0.450) and Pb at (0.340, 0.750, 0.049).

***

Entry 16:
Here is Dy4PPb2 after structural relaxation from Alexandria. Energies are from GGA-PBE.

The total magnetization comes out at 0.00 μB/f.u. The value obtained for the total energy is -5.12 eV/atom.

The space group is I4/mmm (No. 139) and the conventional cell measures 5.131, 5.131 and 16.182 Å, with angles of 90.00, 90.00 and 90.00 degrees. The asymmetric unit holds Dy at (0.000, 0.000, 0.168), Dy at (0.000, 0.500, 0.000), P at (0.000, 0.000, 0.000) and Pb at (0.000, 0.000, 0.363).

***

Entry 17:
Here is DyP2Pt7Pb2 after structural relaxation from Alexandria. Energies are from GGA-PBE.

The total magnetization comes out at 0.00 μB/f.u. The value obtained for the total energy is -6.06 eV/atom.

The space group is C2/m (No. 12) and the conventional cell measures 5.644, 5.640 and 15.372 Å, with angles of 90.00, 100.52 and 90.00 degrees. The asymmetric unit holds Dy at (0.000, 0.000, 0.000), P at (0.115, 0.500, 0.231), Pt at (0.000, 0.500, 0.000), Pt at (0.178, 0.250, 0.855), Pt at (0.191, 0.500, 0.382) and Pb at (0.211, 0.000, 0.422).

***

Entry 18:
Here is Dy3PPbS after structural relaxation from Alexandria. Energies are from GGA-PBE.

The total magnetization comes out at 0.00 μB/f.u. Its formation energy without anion corrections is -1.298 eV/atom.

The space group is P2_1/m (No. 11) and the conventional cell measures 7.166, 4.054 and 10.949 Å, with angles of 90.00, 102.69 and 90.00 degrees. The asymmetric unit holds Dy at (0.040, 0.250, 0.150), Dy at (0.243, 0.250, 0.507), Dy at (0.441, 0.750, 0.844), P at (0.234, 0.250, 0.946), Pb at (0.351, 0.750, 0.308) and S at (0.125, 0.750, 0.640).

***

Entry 19:
Here is Dy4PPbS2 after structural relaxation from Alexandria. Energies are from GGA-PBE.

The total magnetization comes out at 0.00 μB/f.u. Its formation energy without anion corrections is -1.472 eV/atom.

The space group is P2/m (No. 10) and the conventional cell measures 7.062, 4.018 and 7.164 Å, with angles of 90.00, 109.22 and 90.00 degrees. The asymmetric unit holds Dy at (0.235, 0.000, 0.227), Dy at (0.249, 0.500, 0.763), P at (0.500, 0.000, 0.000), Pb at (0.500, 0.500, 0.500), S at (0.000, 0.000, 0.500) and S at (0.000, 0.500, 0.000).

***

Entry 20:
Here is Dy2Sc2PPb2 after structural relaxation from Alexandria. Energies are from GGA-PBE.

The total magnetization comes out at 0.00 μB/f.u. The value obtained for the total energy is -5.72 eV/atom.

The space group is I4/mmm (No. 139) and the conventional cell measures 4.826, 4.826 and 16.090 Å, with angles of 90.00, 90.00 and 90.00 degrees. The asymmetric unit holds Dy at (0.000, 0.000, 0.168), Sc at (0.000, 0.500, 0.000), P at (0.000, 0.000, 0.000) and Pb at (0.000, 0.000, 0.366).

***

Entry 21:
Here is Dy4PPb2Se after structural relaxation from Alexandria. Energies are from GGA-PBE.

The total magnetization comes out at 0.00 μB/f.u. Its formation energy without anion corrections is -1.087 eV/atom.

The space group is P2/m (No. 10) and the conventional cell measures 6.872, 3.994 and 8.127 Å, with angles of 90.00, 106.82 and 90.00 degrees. The asymmetric unit holds Dy at (0.229, 0.000, 0.205), Dy at (0.252, 0.500, 0.789), P at (0.000, 0.500, 0.000), Pb at (0.000, 0.000, 0.500), Pb at (0.500, 0.500, 0.500) and Se at (0.500, 0.000, 0.000).

***

Entry 22:
Here is Dy4Te2PPb after structural relaxation from Alexandria. Energies are from GGA-PBE.

The total magnetization comes out at 0.00 μB/f.u. Its formation energy without anion corrections is -1.208 eV/atom.

The space group is P2/m (No. 10) and the conventional cell measures 7.446, 4.272 and 7.503 Å, with angles of 90.00, 109.07 and 90.00 degrees. The asymmetric unit holds Dy at (0.227, 0.000, 0.220), Dy at (0.242, 0.500, 0.769), Te at (0.000, 0.000, 0.500), Te at (0.500, 0.500, 0.500), P at (0.000, 0.500, 0.000) and Pb at (0.500, 0.000, 0.000).

***

Entry 23:
Here is Dy6Te3P2Pb after structural relaxation from Alexandria. Energies are from GGA-PBE.

The total magnetization comes out at 0.00 μB/f.u. Its formation energy without anion corrections is -1.322 eV/atom.

The space group is C2/m (No. 12) and the conventional cell measures 18.682, 4.195 and 8.658 Å, with angles of 90.00, 104.36 and 90.00 degrees. The asymmetric unit holds Dy at (0.014, 0.000, 0.255), Dy at (0.169, 0.500, 0.118), Dy at (0.177, 0.500, 0.565), Te at (0.000, 0.500, 0.500), Te at (0.163, 0.000, 0.833), P at (0.169, 0.000, 0.339) and Pb at (0.000, 0.500, 0.000).